Entry 1:
The following is a PBEsol calculation of B2RuCl after structural relaxation, from Alexandria.

Cell lengths 4.985, 4.985, 9.307 Å; angles 90.00, 90.00, 90.00 degrees
Space group I-42d (No. 122)
Asymmetric unit:
B  0.200  0.250  0.125 [8 per cell]
Ru  0.000  0.000  0.000 [4 per cell]
Cl  0.000  0.000  0.500 [4 per cell]

Values from the calculation:
formation energy (no corrections): 0.82 eV per atom
calculated volume: 14.5 Å³ per atom

=====

Entry 2:
The following is a PBEsol calculation of HfZn2Cu2 after structural relaxation, from Alexandria.

Cell lengths 3.589, 3.589, 11.356 Å; angles 90.00, 90.00, 90.00 degrees
Space group I4/mmm (No. 139)
Asymmetric unit:
Hf  0.000  0.000  0.000 [2 per cell]
Zn  0.000  0.500  0.250 [4 per cell]
Cu  0.000  0.000  0.399 [4 per cell]

Values from the calculation:
calculated volume: 14.6 Å³ per atom
E_form: -0.085 eV per atom

=====

Entry 3:
The following is a PBEsol calculation of TaZn2Rh after structural relaxation, from Alexandria.

Cell lengths 2.954, 2.954, 6.537 Å; angles 90.00, 90.00, 90.00 degrees
Space group P4/mmm (No. 123)
Asymmetric unit:
Ta  0.000  0.000  0.000 [1 per cell]
Zn  0.500  0.500  0.276 [2 per cell]
Rh  0.000  0.000  0.500 [1 per cell]

Values from the calculation:
calculated volume: 14.3 Å³ per atom
E_form: -0.151 eV per atom

=====

Entry 4:
The following is a PBEsol calculation of LiIn2Ir2 after structural relaxation, from Alexandria.

Cell lengths 4.488, 4.488, 10.446 Å; angles 90.00, 90.00, 90.00 degrees
Space group I4/mmm (No. 139)
Asymmetric unit:
Li  0.000  0.000  0.000 [2 per cell]
In  0.000  0.500  0.250 [4 per cell]
Ir  0.000  0.000  0.387 [4 per cell]

Values from the calculation:
calculated volume: 21.0 Å³ per atom
E_form: 0.153 eV per atom

=====

Entry 5:
The following is a PBEsol calculation of GeP2OsCl after structural relaxation, from Alexandria.

Cell lengths 4.473, 4.473, 5.115 Å; angles 90.00, 90.00, 90.00 degrees
Space group P4/mmm (No. 123)
Asymmetric unit:
Ge  0.000  0.000  0.000 [1 per cell]
P  0.000  0.500  0.500 [2 per cell]
Os  0.500  0.500  0.500 [1 per cell]
Cl  0.500  0.500  0.000 [1 per cell]

Values from the calculation:
formation energy (no corrections): 0.60 eV per atom
calculated volume: 20.5 Å³ per atom

=====

Entry 6:
The following is a PBEsol calculation of BaSbIrW2 after structural relaxation, from Alexandria.

Cell lengths 5.007, 5.007, 4.953 Å; angles 90.00, 90.00, 90.00 degrees
Space group P4/mmm (No. 123)
Asymmetric unit:
Ba  0.000  0.000  0.000 [1 per cell]
Sb  0.500  0.500  0.500 [1 per cell]
Ir  0.500  0.500  0.000 [1 per cell]
W  0.000  0.500  0.500 [2 per cell]

Values from the calculation:
formation energy (no corrections): 1.86 eV per atom
calculated volume: 24.8 Å³ per atom

=====

Entry 7:
The following is a PBEsol calculation of KFeCl4 after structural relaxation, from Alexandria.

Cell lengths 7.218, 9.912, 12.026 Å; angles 90.00, 126.72, 90.00 degrees
Space group P2_1/c (No. 14)
Asymmetric unit:
K  0.077  0.240  0.255 [4 per cell]
Fe  0.432  0.511  0.683 [4 per cell]
Cl  0.196  0.530  0.189 [4 per cell]
Cl  0.234  0.164  0.057 [4 per cell]
Cl  0.324  0.551  0.816 [4 per cell]
Cl  0.376  0.686  0.557 [4 per cell]

Values from the calculation:
formation energy (no corrections): -1.16 eV per atom
calculated volume: 28.7 Å³ per atom

=====

Entry 8:
The following is a PBEsol calculation of Mg5Ir after structural relaxation, from Alexandria.

Cell lengths 10.538, 3.200, 7.330 Å; angles 90.00, 110.98, 90.00 degrees
Space group C2/m (No. 12)
Asymmetric unit:
Mg  0.000  0.000  0.000 [2 per cell]
Mg  0.144  0.500  0.359 [4 per cell]
Mg  0.161  0.500  0.792 [4 per cell]
Ir  0.000  0.000  0.500 [2 per cell]

Values from the calculation:
calculated volume: 19.2 Å³ per atom
energy above the lowest structure with this stoichiometry: 0 meV/atom
E_form: -0.139 eV per atom

=====

Entry 9:
The following is a PBEsol calculation of LiCoPO4 after structural relaxation, from Alexandria.

Cell lengths 8.466, 4.913, 16.373 Å; angles 90.00, 99.09, 90.00 degrees
Space group C2/c (No. 15)
Asymmetric unit:
Li  0.241  0.168  0.191 [8 per cell]
Co  0.118  0.160  0.434 [8 per cell]
P  0.065  0.330  0.627 [8 per cell]
O  0.046  0.357  0.136 [8 per cell]
O  0.105  0.203  0.888 [8 per cell]
O  0.147  0.273  0.549 [8 per cell]
O  0.175  0.212  0.701 [8 per cell]

Values from the calculation:
formation energy (no corrections): -1.83 eV per atom
calculated volume: 12.0 Å³ per atom
energy above the lowest structure with this stoichiometry: 17 meV/atom

=====

Entry 10:
The following is a PBEsol calculation of YRh2Pb after structural relaxation, from Alexandria.

Cell lengths 3.959, 3.959, 9.335 Å; angles 90.00, 90.00, 90.00 degrees
Space group I-4m2 (No. 119)
Asymmetric unit:
Y  0.000  0.000  0.000 [2 per cell]
Rh  0.000  0.000  0.500 [2 per cell]
Rh  0.000  0.500  0.750 [2 per cell]
Pb  0.000  0.500  0.250 [2 per cell]

Values from the calculation:
calculated volume: 18.3 Å³ per atom
E_form: -0.453 eV per atom

=====

Entry 11:
The following is a PBEsol calculation of PrInPt4 after structural relaxation, from Alexandria.

Cell lengths 7.608, 7.608, 7.608 Å; angles 90.00, 90.00, 90.00 degrees
Space group F-43m (No. 216)
Asymmetric unit:
Pr  0.000  0.000  0.000 [4 per cell]
In  0.250  0.250  0.750 [4 per cell]
Pt  0.124  0.124  0.376 [16 per cell]

Values from the calculation:
calculated volume: 18.3 Å³ per atom
E_form: -0.784 eV per atom

=====

Entry 12:
The following is a PBEsol calculation of Ca2AgMo after structural relaxation, from Alexandria.

Cell lengths 3.095, 4.110, 6.918 Å; angles 90.00, 90.00, 90.00 degrees
Space group Pmmm (No. 47)
Asymmetric unit:
Ca  0.000  0.000  0.247 [2 per cell]
Ag  0.500  0.500  0.500 [1 per cell]
Mo  0.500  0.500  0.000 [1 per cell]

Values from the calculation:
calculated volume: 22.0 Å³ per atom
energy above the lowest structure with this stoichiometry: 0 meV/atom
E_form: 0.589 eV per atom

=====

- What is the formula in the eleventh record?
  PrInPt4